# BeCoSO (PBE with a Hubbard U, relaxed)
data_BeCoSO
_chemical_formula_sum 'Be8 Co8 S8 O8'
_cell_length_a 6.116
_cell_length_b 6.215
_cell_length_c 10.894
_cell_angle_alpha 90.00
_cell_angle_beta 90.00
_cell_angle_gamma 90.00
_symmetry_space_group_name_H-M 'P b c a'
_symmetry_Int_Tables_number 61
loop_
_symmetry_equiv_pos_as_xyz
'x,y,z'
'-x,-y,-z'
'-x+1/2,-y,z+1/2'
'x+1/2,y,-z+1/2'
'x+1/2,-y+1/2,-z'
'-x+1/2,y+1/2,z'
'-x,y+1/2,-z+1/2'
'x,-y+1/2,z+1/2'
loop_
_atom_site_label
_atom_site_type_symbol
_atom_site_fract_x
_atom_site_fract_y
_atom_site_fract_z
Be1 Be 0.098 0.180 0.068
Co1 Co 0.156 0.577 0.786
S1 S 0.233 0.584 0.472
O1 O 0.116 0.227 0.210
# Energy: -176.24 eV per cell